1.
## Ho2In3Pd (PBE)

Data for crystalline Ho2In3Pd at its relaxed geometry. Values from VASP.

```
&SYSTEM
  ibrav = 0, nat = 6, ntyp = 3
/
ATOMIC_SPECIES
Ho 164.93 Ho.upf
In 114.82 In.upf
Pd 106.42 Pd.upf
ATOMIC_POSITIONS angstrom
Ho -1.809 -1.501 0.642
Ho 2.448 -2.963 1.301
In 4.194 -4.384 3.852
In 0.877 -0.370 2.089
In 1.346 -4.629 3.942
Pd -0.296 -2.641 3.069
CELL_PARAMETERS angstrom
-0.018 1.406 3.236
-3.872 -2.695 1.149
5.042 -6.102 2.679
```

Properties
V = 23.9 Å³/atom
energy of formation = -0.5503 eV per atom

=====

2.
## BaTb4SmS8 (PBE)

Data for crystalline BaTb4SmS8 at its relaxed geometry. Values from VASP.

```
&SYSTEM
  ibrav = 0, nat = 14, ntyp = 4
/
ATOMIC_SPECIES
Tb 158.93 Tb.upf
S 32.06 S.upf
Ba 137.33 Ba.upf
Sm 150.36 Sm.upf
ATOMIC_POSITIONS angstrom
Tb 6.179 1.211 3.418
Tb 8.276 4.778 0.848
Tb 2.097 1.211 3.418
Tb 4.138 4.746 3.418
S 10.447 6.031 1.776
S 8.276 7.487 4.955
S 12.414 7.167 4.961
S 10.622 3.424 4.955
S 5.930 3.424 4.955
S 4.138 2.389 2.075
S 8.276 2.272 1.776
S 6.106 6.031 1.776
Ba 8.276 4.778 5.983
Sm 4.138 2.389 6.775
CELL_PARAMETERS angstrom
8.276 0.000 0.000
4.138 7.167 0.000
4.138 2.389 6.812
```

Properties
V = 28.9 Å³/atom
raw formation energy = -190 kJ/mol of atoms

=====

3.
## MgNb2V2Rh5 (PBE)

Data for crystalline MgNb2V2Rh5 at its relaxed geometry. Values from VASP.

```
&SYSTEM
  ibrav = 0, nat = 20, ntyp = 4
/
ATOMIC_SPECIES
V 50.94 V.upf
Nb 92.91 Nb.upf
Rh 102.91 Rh.upf
Mg 24.30 Mg.upf
ATOMIC_POSITIONS angstrom
V -1.933 -1.725 2.432
V -1.002 2.323 5.260
V -3.651 0.304 9.022
V -4.581 -3.745 6.195
Nb -2.100 2.044 7.512
Nb -3.484 -3.465 3.943
Nb -4.533 -1.949 8.313
Nb -1.050 0.527 3.142
Rh -3.358 1.786 4.776
Rh -4.085 -2.397 1.299
Rh -4.820 0.702 6.890
Rh -1.841 3.331 3.104
Rh -2.350 4.360 5.587
Rh -5.360 -1.563 5.354
Rh -6.074 0.382 9.463
Rh -2.644 -0.159 0.667
Rh -3.898 -0.478 3.241
Rh -6.368 -4.137 4.543
Mg -2.792 -0.711 5.727
Mg 0.000 0.000 0.000
CELL_PARAMETERS angstrom
-3.135 1.645 -1.324
-5.036 -6.439 3.923
-0.548 5.017 7.532
```

Properties
V = 15.5 Å³/atom
energy of formation = -0.2648 eV per atom

=====

4.
## Al8Cu2Re (PBE)

Data for crystalline Al8Cu2Re at its relaxed geometry. Values from VASP.

```
&SYSTEM
  ibrav = 0, nat = 11, ntyp = 3
/
ATOMIC_SPECIES
Al 26.98 Al.upf
Cu 63.55 Cu.upf
Re 186.21 Re.upf
ATOMIC_POSITIONS angstrom
Al 2.260 2.255 1.306
Al 0.000 0.541 4.197
Al 0.000 0.469 7.080
Al 2.260 -1.400 7.273
Al 2.260 -0.166 2.614
Al 2.260 2.183 4.189
Al 0.000 2.890 5.772
Al 0.000 4.125 1.114
Cu 2.260 -0.162 5.166
Cu 0.000 2.886 3.220
Re 2.260 0.000 0.000
CELL_PARAMETERS angstrom
4.521 0.000 0.000
0.000 4.724 0.003
-2.260 -2.000 8.383
```

Properties
V = 16.3 Å³/atom
energy of formation = -0.0891 eV per atom
ΔE to the lowest computed polymorph = 0.032 eV/atom

=====

5.
## Er12Tm3Pu (PBE)

Data for crystalline Er12Tm3Pu at its relaxed geometry. Values from VASP.

```
&SYSTEM
  ibrav = 0, nat = 16, ntyp = 3
/
ATOMIC_SPECIES
Er 167.26 Er.upf
Tm 168.93 Tm.upf
Pu 244.00 Pu.upf
ATOMIC_POSITIONS angstrom
Er 11.470 -0.667 5.167
Er 6.297 2.286 3.972
Er 6.749 -1.172 3.705
Er 15.742 3.295 6.895
Er 8.389 0.616 6.235
Er 3.691 0.114 4.781
Er -0.990 -0.386 3.332
Er 1.574 1.781 2.510
Er 16.194 -0.162 6.629
Er 11.018 2.790 5.433
Er 13.087 1.118 7.689
Er 2.026 -1.677 2.243
Tm 4.660 0.498 1.443
Tm 9.379 1.003 2.903
Tm 14.098 1.507 4.364
Pu 0.000 0.000 0.000
CELL_PARAMETERS angstrom
-1.442 3.071 3.598
-0.538 -3.844 3.065
18.758 2.005 5.807
```

Properties
V = 30.2 Å³/atom
energy of formation = 0.0426 eV per atom

=====

6.
## Ac3In2Pd4 (PBE)

Data for crystalline Ac3In2Pd4 at its relaxed geometry. Values from VASP.

```
&SYSTEM
  ibrav = 0, nat = 9, ntyp = 3
/
ATOMIC_SPECIES
Ac 227.00 Ac.upf
Pd 106.42 Pd.upf
In 114.82 In.upf
ATOMIC_POSITIONS angstrom
Ac 0.000 0.000 0.000
Ac 0.000 4.142 0.867
Ac 2.223 1.399 5.911
Pd 0.000 3.194 7.241
Pd 0.000 0.843 3.544
Pd 2.223 2.346 -0.463
Pd 2.223 4.697 3.234
In 0.000 3.649 4.456
In 2.223 1.892 2.322
CELL_PARAMETERS angstrom
4.446 0.000 0.000
-2.223 5.653 -2.600
0.000 -0.112 9.378
```

Properties
V = 26.0 Å³/atom
energy of formation = -0.7564 eV per atom
ΔE to the lowest computed polymorph = 0.000 eV/atom

=====

7.
## RbTl2Pb (PBE)

Data for crystalline RbTl2Pb at its relaxed geometry. Values from VASP.

```
&SYSTEM
  ibrav = 0, nat = 4, ntyp = 3
/
ATOMIC_SPECIES
Tl 204.38 Tl.upf
Pb 207.20 Pb.upf
Rb 85.47 Rb.upf
ATOMIC_POSITIONS angstrom
Tl 0.000 0.000 1.745
Tl 0.000 0.000 6.832
Pb 2.050 2.050 0.000
Rb 2.050 2.050 4.289
CELL_PARAMETERS angstrom
4.101 0.000 0.000
0.000 4.101 0.000
0.000 0.000 8.578
```

Properties
V = 36.1 Å³/atom
energy of formation = -0.0836 eV per atom
ΔE to the lowest computed polymorph = 0.016 eV/atom

=====

8.
## Tb2Pm2Se3 (PBE)

Data for crystalline Tb2Pm2Se3 at its relaxed geometry. Values from VASP.

```
&SYSTEM
  ibrav = 0, nat = 7, ntyp = 3
/
ATOMIC_SPECIES
Tb 158.93 Tb.upf
Pm 145.00 Pm.upf
Se 78.96 Se.upf
ATOMIC_POSITIONS angstrom
Tb 1.637 -2.582 5.614
Tb 1.871 -1.280 1.729
Pm 0.673 1.175 4.834
Pm 2.834 -5.037 2.509
Se 0.000 0.000 0.000
Se 3.689 -2.443 3.617
Se -0.181 -1.420 3.726
CELL_PARAMETERS angstrom
-2.847 -2.730 1.060
4.960 -4.988 0.477
1.395 3.856 5.805
```

Properties
V = 27.4 Å³/atom
raw formation energy = -146 kJ/mol of atoms

=====

9.
## Ba2NaPd4Pb3 (PBE)

Data for crystalline Ba2NaPd4Pb3 at its relaxed geometry. Values from VASP.

```
&SYSTEM
  ibrav = 0, nat = 10, ntyp = 4
/
ATOMIC_SPECIES
Ba 137.33 Ba.upf
Pb 207.20 Pb.upf
Pd 106.42 Pd.upf
Na 22.99 Na.upf
ATOMIC_POSITIONS angstrom
Ba -3.208 1.795 -0.069
Ba -7.179 0.658 5.302
Pb -2.110 -1.674 0.639
Pb -8.278 4.127 4.594
Pb -3.968 1.826 3.650
Pd 0.000 0.000 0.000
Pd -4.053 -0.780 2.427
Pd -6.334 3.233 2.806
Pd -2.452 -1.198 -2.066
Na -6.419 0.628 1.583
CELL_PARAMETERS angstrom
-2.557 1.814 -3.688
-2.346 -4.210 -0.445
-7.936 3.651 7.299
```

Properties
V = 26.7 Å³/atom
energy of formation = -0.4692 eV per atom

=====

10.
## NaPN2 (PBE)

Data for crystalline NaPN2 at its relaxed geometry. Values from VASP.

```
&SYSTEM
  ibrav = 0, nat = 4, ntyp = 3
/
ATOMIC_SPECIES
Na 22.99 Na.upf
N 14.01 N.upf
P 30.97 P.upf
ATOMIC_POSITIONS angstrom
Na 0.000 0.000 0.000
N -16.646 0.265 1.780
N -2.210 0.035 0.236
P -9.428 0.150 1.008
CELL_PARAMETERS angstrom
-6.438 -0.834 -0.614
-6.141 -0.554 2.121
-6.277 1.688 0.509
```

Properties
V = 10.5 Å³/atom
raw formation energy = 4 kJ/mol of atoms

=====

11.
## LiTcSnSe2 (PBE)

Data for crystalline LiTcSnSe2 at its relaxed geometry. Values from VASP.

```
&SYSTEM
  ibrav = 0, nat = 5, ntyp = 4
/
ATOMIC_SPECIES
Se 78.96 Se.upf
Tc 98.00 Tc.upf
Sn 118.71 Sn.upf
Li 6.94 Li.upf
ATOMIC_POSITIONS angstrom
Se -2.638 -0.679 0.244
Se -0.679 2.649 0.035
Tc -0.232 -0.025 -2.580
Sn 0.000 0.000 0.000
Li -3.549 1.945 -2.300
CELL_PARAMETERS angstrom
-1.357 5.299 0.070
-0.465 -0.050 -5.159
-5.276 -1.358 0.489
```

Properties
V = 31.0 Å³/atom
raw formation energy = 72 kJ/mol of atoms

=====

12.
## InPbAu5 (PBE)

Data for crystalline InPbAu5 at its relaxed geometry. Values from VASP.

```
&SYSTEM
  ibrav = 0, nat = 28, ntyp = 3
/
ATOMIC_SPECIES
Au 196.97 Au.upf
Pb 207.20 Pb.upf
In 114.82 In.upf
ATOMIC_POSITIONS angstrom
Au 2.729 -6.760 -0.805
Au 7.890 -3.238 -0.387
Au -0.207 -6.100 5.785
Au 7.155 -8.162 0.000
Au 2.383 -9.401 7.762
Au 3.342 -4.106 3.380
Au 0.341 -3.667 7.008
Au 7.703 -5.729 1.223
Au 1.781 -7.988 5.220
Au 6.221 -9.136 5.513
Au 1.275 -2.693 1.495
Au 5.113 -2.428 -0.754
Au 4.219 -7.502 6.590
Au 0.536 -3.849 4.128
Au 5.715 -3.841 1.788
Au 6.961 -7.980 2.880
Au 3.277 -4.327 0.418
Au 4.767 -5.069 7.813
Au -0.393 -8.591 7.395
Au 4.154 -7.723 3.627
Pb 1.670 -6.506 8.906
Pb 1.260 -6.526 2.545
Pb 6.236 -5.303 4.463
Pb 5.826 -5.323 -1.898
In 2.631 -5.173 5.821
In 4.865 -6.656 1.187
In 7.036 -6.973 7.428
In 0.460 -4.856 -0.420
CELL_PARAMETERS angstrom
-1.145 -5.078 -2.551
8.911 -1.703 -0.608
-0.271 -5.048 10.168
```

Properties
V = 21.4 Å³/atom
energy of formation = -0.0895 eV per atom
ΔE to the lowest computed polymorph = 0.000 eV/atom

=====

13.
## Tl3Hg12Au5 (PBE)

Data for crystalline Tl3Hg12Au5 at its relaxed geometry. Values from VASP.

```
&SYSTEM
  ibrav = 0, nat = 80, ntyp = 3
/
ATOMIC_SPECIES
Hg 200.59 Hg.upf
Au 196.97 Au.upf
Tl 204.38 Tl.upf
ATOMIC_POSITIONS angstrom
Hg -2.460 3.345 7.323
Hg 6.477 10.484 3.513
Hg 9.970 -3.345 7.323
Hg 6.736 7.464 2.192
Hg 5.780 2.090 11.499
Hg -4.791 6.318 6.558
Hg 10.057 1.129 0.427
Hg -6.040 3.403 8.751
Hg 2.288 5.299 8.324
Hg -2.288 -0.762 5.705
Hg 7.466 13.032 0.427
Hg -0.774 8.788 1.428
Hg 1.730 1.707 10.836
Hg 9.798 0.762 5.705
Hg 4.791 -1.782 3.940
Hg 5.780 -1.707 10.836
Hg 2.547 9.687 5.367
Hg 7.725 -1.019 2.619
Hg 7.466 3.735 4.941
Hg 2.719 1.782 3.940
Hg 3.536 5.740 4.704
Hg -1.470 -3.403 8.751
Hg 2.460 -2.606 6.896
Hg -4.963 10.426 4.941
Hg -2.719 8.100 9.645
Hg -5.780 0.383 10.071
Hg 5.222 6.061 9.645
Hg 0.215 8.862 8.324
Hg -1.033 8.421 4.704
Hg -2.460 -5.951 11.837
Hg -1.730 -0.383 10.071
Hg -0.044 4.474 5.367
Hg -0.215 1.019 2.619
Hg 6.040 -1.341 7.560
Hg -5.050 5.951 11.837
Hg 3.277 5.373 1.428
Hg 8.980 -4.744 11.073
Hg 1.470 1.341 7.560
Hg 6.477 2.336 1.191
Hg 5.050 2.606 6.896
Hg -3.974 11.825 1.191
Hg 11.046 3.677 3.513
Hg 3.277 9.171 0.764
Hg 10.787 6.697 2.192
Hg -0.774 4.990 0.764
Hg 1.730 -2.090 11.499
Hg -1.470 4.744 11.073
Hg 7.295 7.843 6.558
Au 1.252 -3.540 9.198
Au 6.258 6.195 4.599
Au 7.510 0.000 0.000
Au 6.258 3.540 9.198
Au -1.252 11.506 1.533
Au 3.755 10.621 3.066
Au 2.503 3.540 6.132
Au 6.258 -4.425 10.731
Au 5.007 -3.540 6.132
Au -3.755 7.966 4.599
Au -1.252 3.540 3.066
Au 1.252 4.425 10.731
Au 0.000 0.000 0.000
Au -2.503 7.080 0.000
Au -1.252 0.885 7.665
Au 3.755 2.655 1.533
Au -2.503 -3.540 6.132
Au -5.007 3.540 6.132
Au 8.762 -0.885 7.665
Au 5.007 7.080 0.000
Tl 8.762 9.736 1.533
Tl 1.252 7.080 3.066
Tl 8.762 4.425 1.533
Tl 3.755 0.000 9.198
Tl -1.252 6.195 7.665
Tl -3.755 -2.655 10.731
Tl -3.755 2.655 10.731
Tl 3.755 7.966 7.665
Tl 6.258 0.885 4.599
Tl 11.265 0.000 3.066
Tl -6.258 7.080 9.198
Tl 1.252 -0.885 4.599
CELL_PARAMETERS angstrom
15.020 0.000 0.000
-5.007 14.161 0.000
-5.007 -7.080 12.264
```

Properties
V = 32.6 Å³/atom
energy of formation = 0.1329 eV per atom

=====

14.
## La3LuCo (PBE)

Data for crystalline La3LuCo at its relaxed geometry. Values from VASP.

```
&SYSTEM
  ibrav = 0, nat = 5, ntyp = 3
/
ATOMIC_SPECIES
La 138.91 La.upf
Co 58.93 Co.upf
Lu 174.97 Lu.upf
ATOMIC_POSITIONS angstrom
La 0.000 0.000 2.726
La 2.726 0.000 0.000
La 0.000 2.726 0.000
Co 0.000 0.000 0.000
Lu 2.726 2.726 2.726
CELL_PARAMETERS angstrom
5.453 0.000 0.000
0.000 5.453 0.000
0.000 0.000 5.453
```

Properties
V = 32.4 Å³/atom
energy of formation = 0.0433 eV per atom

=====

15.
## Pa2SeCl6 (PBE)

Data for crystalline Pa2SeCl6 at its relaxed geometry. Values from VASP.

```
&SYSTEM
  ibrav = 0, nat = 9, ntyp = 3
/
ATOMIC_SPECIES
Cl 35.45 Cl.upf
Pa 231.04 Pa.upf
Se 78.96 Se.upf
ATOMIC_POSITIONS angstrom
Cl -4.430 -10.094 1.477
Cl -4.634 -6.284 3.362
Cl -1.589 -3.602 -2.585
Cl -2.362 -9.314 -0.712
Cl -1.385 -7.413 -4.470
Cl -3.656 -4.382 -0.396
Pa -1.858 -2.276 -0.153
Pa -4.161 -11.421 -0.956
Se 0.000 0.000 0.000
CELL_PARAMETERS angstrom
-2.379 -0.469 -2.415
3.113 -6.019 -4.323
-6.752 -7.208 5.629
```

Properties
V = 33.5 Å³/atom
raw formation energy = -159 kJ/mol of atoms

=====

16.
## NiAs (PBE)

Data for crystalline NiAs at its relaxed geometry. Values from VASP.

```
&SYSTEM
  ibrav = 0, nat = 2, ntyp = 2
/
ATOMIC_SPECIES
Ni 58.69 Ni.upf
As 74.92 As.upf
ATOMIC_POSITIONS angstrom
Ni 1.487 1.481 1.573
As 0.000 0.000 0.000
CELL_PARAMETERS angstrom
2.969 -0.008 0.000
0.005 2.969 0.000
0.000 0.000 3.146
```

Properties
V = 13.9 Å³/atom
energy of formation = 0.0064 eV per atom

=====

17.
## Rb2Tb2ZrS6 (PBE)

Data for crystalline Rb2Tb2ZrS6 at its relaxed geometry. Values from VASP.

```
&SYSTEM
  ibrav = 0, nat = 11, ntyp = 4
/
ATOMIC_SPECIES
Rb 85.47 Rb.upf
Zr 91.22 Zr.upf
Tb 158.93 Tb.upf
S 32.06 S.upf
ATOMIC_POSITIONS angstrom
Rb -3.816 3.442 -0.792
Rb -3.018 -4.154 0.822
Zr 1.092 0.932 3.846
Tb -2.526 2.490 3.454
Tb -2.124 -1.338 4.268
S -4.443 -1.791 2.824
S -3.618 0.745 5.293
S -0.208 2.943 4.898
S -1.032 0.407 2.428
S -4.826 1.853 2.050
S 0.175 -0.701 5.672
CELL_PARAMETERS angstrom
-4.021 5.391 -1.206
-2.813 -6.103 1.236
2.184 1.864 7.692
```

Properties
V = 29.0 Å³/atom
raw formation energy = -173 kJ/mol of atoms

=====

18.
## CaHg5Au (PBE)

Data for crystalline CaHg5Au at its relaxed geometry. Values from VASP.

```
&SYSTEM
  ibrav = 0, nat = 7, ntyp = 3
/
ATOMIC_SPECIES
Hg 200.59 Hg.upf
Ca 40.08 Ca.upf
Au 196.97 Au.upf
ATOMIC_POSITIONS angstrom
Hg 2.085 -3.748 3.848
Hg -1.510 -0.942 2.695
Hg -2.178 -2.748 0.103
Hg -0.323 -1.779 5.471
Hg 0.898 -2.911 1.072
Ca 0.000 0.000 0.000
Au 1.377 -0.970 3.220
CELL_PARAMETERS angstrom
-4.586 -0.779 1.726
0.230 -4.717 -1.520
2.753 -1.941 6.439
```

Properties
V = 25.6 Å³/atom
energy of formation = -0.2498 eV per atom

=====

19.
## BaMgSb2 (PBE)

Data for crystalline BaMgSb2 at its relaxed geometry. Values from VASP.

```
&SYSTEM
  ibrav = 0, nat = 4, ntyp = 3
/
ATOMIC_SPECIES
Sb 121.76 Sb.upf
Ba 137.33 Ba.upf
Mg 24.30 Mg.upf
ATOMIC_POSITIONS angstrom
Sb 2.463 0.984 4.429
Sb -0.061 5.385 1.421
Ba 1.704 2.317 1.229
Mg 2.430 3.899 5.198
CELL_PARAMETERS angstrom
-1.957 -1.468 5.480
3.465 -0.268 1.166
-0.068 5.889 1.553
```

Properties
V = 33.5 Å³/atom
raw formation energy = -38 kJ/mol of atoms